# 1
Compound: Ac2SmHgTe5
Source: Alexandria via LeMat-Bulk
Functional: GGA-PBE
Structure: optimized geometry

Structure (POSCAR):
```
Ac2SmHgTe5
1.0
-0.758 -4.367 1.108
0.123 -0.183 -10.052
13.649 -2.317 0.209
Ac Sm Hg Te
4 2 2 10
direct
0.876 0.751 0.806
0.122 0.245 0.684
0.124 0.249 0.306
0.878 0.755 0.184
0.812 0.624 0.502
0.188 0.376 0.002
0.565 0.129 0.967
0.435 0.871 0.467
0.352 0.705 0.998
0.702 0.403 0.838
0.505 0.010 0.779
0.295 0.590 0.661
0.962 0.925 0.588
0.648 0.295 0.498
0.298 0.597 0.338
0.495 0.990 0.279
0.705 0.410 0.161
0.038 0.075 0.088
```

Uncorrected energy (eV per atom): -4.454
Raw formation energy (eV per formula unit): -11.14
V (Å³/cell): 619

=====

# 2
Compound: Na4Dy3ErTe8
Source: Alexandria via LeMat-Bulk
Functional: GGA-PBE
Structure: optimized geometry

Structure (POSCAR):
```
Na4Dy3ErTe8
1.0
8.840 0.000 0.000
0.000 9.127 0.192
-4.420 -4.415 6.254
Na Dy Er Te
4 3 1 8
direct
0.500 0.000 0.000
0.500 0.000 0.500
0.000 0.000 0.000
0.000 0.000 0.500
0.500 0.500 0.000
0.500 0.500 0.500
0.000 0.500 0.500
0.000 0.500 0.000
0.243 0.731 0.989
0.243 0.731 0.486
0.256 0.268 0.512
0.745 0.731 0.989
0.255 0.269 0.011
0.744 0.732 0.488
0.757 0.269 0.514
0.757 0.269 0.011
```

Uncorrected energy (eV per atom): -4.362
Raw formation energy (eV per formula unit): -21.01
V (Å³/cell): 512

=====

# 3
Compound: LaPbAu2
Source: Alexandria via LeMat-Bulk
Functional: GGA-PBE
Structure: optimized geometry

Structure (POSCAR):
```
LaPbAu2
1.0
3.859 0.000 0.000
0.000 3.883 0.031
0.000 3.834 6.930
Au La Pb
2 1 1
direct
0.000 0.987 0.014
0.000 0.513 0.486
0.500 0.250 0.250
0.500 0.750 0.750
```

Uncorrected energy (eV per atom): -4.338
V (Å³/cell): 103
Energy of formation from the pure elements (eV per atom): -0.540